# SrScB2 (SCAN, single point on PBEsol structure)
# Density of states at the Fermi level: 0.690 states/eV/atom
# Energy: -11.933 eV per atom
# Symmetry: I4_1/amd
# Total moment: 0.00 μB per formula unit
# Calculated density: 3.29 g/cm³
data_SrScB2
_cell_length_a 4.3482
_cell_length_b 4.3482
_cell_length_c 8.7872
_cell_angle_alpha 104.32
_cell_angle_beta 104.32
_cell_angle_gamma 90.00
_space_group_name_H-M_alt 'P 1'
_space_group_IT_number 1
loop_
_space_group_symop_operation_xyz
'x,y,z'
loop_
_atom_site_label
_atom_site_type_symbol
_atom_site_fract_x
_atom_site_fract_y
_atom_site_fract_z
Sc1 Sc 0.7500 0.2500 0.5000
Sc2 Sc 0.5000 0.5000 0.0000
B1 B 0.6250 0.3750 0.2500
B2 B 0.6250 0.8750 0.2500
B3 B 0.6250 0.3750 0.7500
B4 B 0.1250 0.3750 0.7500
Sr1 Sr 0.2500 0.7500 0.5000
Sr2 Sr 0.0000 0.0000 0.0000

=====

# Sc3TaB (SCAN, single point on PBEsol structure)
# Density of states at the Fermi level: 1.120 states/eV/atom
# Energy: -21.808 eV per atom
# Symmetry: Pm-3m
# Total moment: 0.00 μB per formula unit
# Calculated density: 4.43 g/cm³
data_Sc3TaB
_cell_length_a 4.9665
_cell_length_b 4.9665
_cell_length_c 4.9665
_cell_angle_alpha 90.00
_cell_angle_beta 90.00
_cell_angle_gamma 90.00
_space_group_name_H-M_alt 'P 1'
_space_group_IT_number 1
loop_
_space_group_symop_operation_xyz
'x,y,z'
loop_
_atom_site_label
_atom_site_type_symbol
_atom_site_fract_x
_atom_site_fract_y
_atom_site_fract_z
B1 B 0.5000 0.5000 0.5000
Sc1 Sc 0.0000 0.5000 0.0000
Sc2 Sc 0.0000 0.0000 0.5000
Sc3 Sc 0.5000 0.0000 0.0000
Ta1 Ta 0.0000 0.0000 0.0000